AcMn3Ga4O12: relaxed, PBE+U. Values from VASP.

Results
Its density of states at the Fermi level is 0.000 states/eV/atom. The total energy is -0.2513 hartree per atom.

The structure in Quantum ESPRESSO input format:
```
&SYSTEM
  ibrav = 0, nat = 20, ntyp = 4
/
ATOMIC_SPECIES
Ac 227.00 Ac.upf
Mn 54.94 Mn.upf
Ga 69.72 Ga.upf
O 16.00 O.upf
CELL_PARAMETERS angstrom
-3.777 3.777 3.777
3.777 -3.777 3.777
3.777 3.777 -3.777
ATOMIC_POSITIONS angstrom
Ac 0.000 0.000 0.000
Mn 3.777 0.000 0.000
Mn 0.000 3.777 0.000
Mn 0.000 0.000 3.777
Ga 1.889 1.889 -1.889
Ga 1.889 -1.889 1.889
Ga -1.889 1.889 1.889
Ga 1.889 1.889 1.889
O 3.777 -1.429 2.434
O 2.349 1.344 0.000
O 5.206 1.344 0.000
O 2.434 3.777 -1.429
O 1.344 0.000 2.349
O 0.000 2.349 1.344
O 3.777 1.429 2.434
O 2.434 3.777 1.429
O 1.344 0.000 5.206
O -1.429 2.434 3.777
O 1.429 2.434 3.777
O 0.000 5.206 1.344
```